# 1
Computed, not measured: a relaxed BaZr2Ag2 crystal at the GGA-PBE level of DFT.

* energy relative to the elements: 100 kJ/mol of formula units
* energy: -4.74 eV/atom
* distance to the lowest polymorph of the same formula: 0 meV/atom

Cell: 8.8602 8.8602 3.1382 Å, 90.00 90.00 90.00°
Closest atoms and distances in Å follow each position.
Space group P4/mbm (No. 127)
Inequivalent atoms, fractional coordinates:
Ba  0.0000  0.0000  0.0000 [2 per cell]  2 Ba 3.14
Zr  0.1187  0.3813  0.0000 [4 per cell]  3 Zr 2.97-3.14, 6 Ag 3.04-3.07
Ag  0.1739  0.6739  0.5000 [4 per cell]  6 Zr 3.04-3.07, 2 Ag 3.14

# 2
Computed, not measured: a relaxed MgAsRh3 crystal at the GGA-PBE level of DFT.

* energy relative to the elements: 14 kJ/mol of formula units
* energy: -5.63 eV/atom
* distance to the lowest polymorph of the same formula: 0 meV/atom

Cell: 4.5384 4.5384 4.5384 Å, 90.00 90.00 90.00°
Closest atoms and distances in Å follow each position.
Space group Pm-3m (No. 221)
Inequivalent atoms, fractional coordinates:
Mg  0.0000  0.0000  0.0000 [1 per cell]  12 Rh 3.21
As  0.5000  0.5000  0.5000 [1 per cell]  6 Rh 2.27
Rh  0.0000  0.5000  0.5000 [3 per cell]  2 As 2.27

# 3
Computed, not measured: a relaxed Rb2NbGaI6 crystal at the GGA-PBE level of DFT.

* energy: -3.22 eV/atom
* formation energy without anion corrections: -0.782 eV/atom

Cell: 12.0479 12.0479 12.0479 Å, 90.00 90.00 90.00°
Closest atoms and distances in Å follow each position.
Space group Fm-3m (No. 225)
Inequivalent atoms, fractional coordinates:
Rb  0.2500  0.2500  0.2500 [8 per cell]  12 I 4.26
Nb  0.0000  0.0000  0.0000 [4 per cell]  6 I 2.87
Ga  0.0000  0.0000  0.5000 [4 per cell]  6 I 3.16
I  0.0000  0.0000  0.2379 [24 per cell]  1 Nb 2.87, 1 Ga 3.16

# 4
Computed, not measured: a relaxed Ac2Mg3Cd12Ag crystal at the GGA-PBE level of DFT.

* energy relative to the elements: -80 kJ/mol of formula units
* energy: -1.54 eV/atom

Cell: 6.4756 6.4756 40.1786 Å, 90.00 90.00 120.00°
Closest atoms and distances in Å follow each position.
Space group R-3m (No. 166, hexagonal axes)
Inequivalent atoms, fractional coordinates:
Ac  0.0000  0.0000  0.1422 [6 per cell]  12 Cd 3.46-3.86, 3 Ag 3.87
Mg  0.0000  0.5000  0.0000 [9 per cell]  4 Cd 2.98, 4 Mg 3.24
Cd  0.0035  0.5018  0.8879 [18 per cell]  1 Ag 2.89, 4 Cd 2.97-3.20
Cd  0.0257  0.5128  0.6105 [18 per cell]  4 Cd 2.97-2.99, 2 Mg 2.98
Ag  0.0000  0.0000  0.5000 [3 per cell]  6 Cd 2.89

# 5
Computed, not measured: a relaxed SrRuF3 crystal at the GGA-PBE level of DFT.

* energy: -5.02 eV/atom
* distance to the lowest polymorph of the same formula: 0 meV/atom
* formation energy without anion corrections: -1.704 eV/atom

Cell: 4.3430 4.3430 4.3430 Å, 90.00 90.00 90.00°
Closest atoms and distances in Å follow each position.
Space group Pm-3m (No. 221)
Inequivalent atoms, fractional coordinates:
Sr  0.0000  0.0000  0.0000 [1 per cell]  12 F 3.07
Ru  0.5000  0.5000  0.5000 [1 per cell]  6 F 2.17
F  0.0000  0.5000  0.5000 [3 per cell]  2 Ru 2.17

# 6
Computed, not measured: a relaxed Na2PbAu2O6 crystal at the GGA-PBE level of DFT.

* energy: -4.41 eV/atom
* formation energy without anion corrections: -0.529 eV/atom

Cell: 5.7714 5.7714 5.7604 Å, 90.00 90.00 120.00°
Closest atoms and distances in Å follow each position.
Space group P-31m (No. 162)
Inequivalent atoms, fractional coordinates:
Na  0.3333  0.6667  0.0000 [2 per cell]  6 O 2.57
Pb  0.0000  0.0000  0.5000 [1 per cell]  6 O 2.26
Au  0.3333  0.6667  0.5000 [2 per cell]  6 O 2.25
O  0.0000  0.3349  0.2960 [6 per cell]  2 Au 2.25, 1 Pb 2.26

# 7
Computed, not measured: a relaxed HgPRuCl2 crystal at the GGA-PBE level of DFT.

* energy: -2.54 eV/atom
* distance to the lowest polymorph of the same formula: 1080 meV/atom
* formation energy without anion corrections: 1.192 eV/atom

Cell: 5.2958 5.2958 5.0008 Å, 90.00 90.00 90.00°
Closest atoms and distances in Å follow each position.
Space group P4/mmm (No. 123)
Inequivalent atoms, fractional coordinates:
Hg  0.0000  0.0000  0.0000 [1 per cell]  2 P 2.50, 4 Cl 2.65
P  0.0000  0.0000  0.5000 [1 per cell]  2 Hg 2.50
Ru  0.5000  0.5000  0.5000 [1 per cell]  8 Cl 3.64, 4 P 3.74
Cl  0.0000  0.5000  0.0000 [2 per cell]  2 Hg 2.65

# 8
Computed, not measured: a relaxed Ac2CoAgC crystal at the GGA-PBE level of DFT.

* energy relative to the elements: -71 kJ/mol of formula units
* energy: -5.63 eV/atom

Cell: 5.6118 5.6118 3.7127 Å, 90.00 90.00 90.00°
Closest atoms and distances in Å follow each position.
Space group P4/mmm (No. 123)
Inequivalent atoms, fractional coordinates:
Ac  0.0000  0.5000  0.0000 [2 per cell]  2 C 2.81
Co  0.0000  0.0000  0.5000 [1 per cell]  2 C 1.86
Ag  0.5000  0.5000  0.5000 [1 per cell]  8 Ac 3.36, 2 Ag 3.71
C  0.0000  0.0000  0.0000 [1 per cell]  2 Co 1.86

# 9
Computed, not measured: a relaxed BeTlPt2 crystal at the GGA-PBE level of DFT.

* energy relative to the elements: -79 kJ/mol of formula units
* energy: -4.75 eV/atom
* distance to the lowest polymorph of the same formula: 90 meV/atom

Cell: 2.9715 3.5516 12.5886 Å, 90.00 90.00 90.00°
Closest atoms and distances in Å follow each position.
Space group Imm2 (No. 44)
Inequivalent atoms, fractional coordinates:
Be  0.0000  0.0000  0.0000 [2 per cell]  6 Pt 2.29-2.38
Tl  0.0000  0.5000  0.2778 [2 per cell]  6 Pt 2.87-2.91, 2 Tl 2.97, 2 Be 3.17
Pt  0.0000  0.0000  0.4572 [2 per cell]  4 Be 2.38
Pt  0.0000  0.5000  0.6383 [2 per cell]  2 Be 2.29

# 10
Computed, not measured: a relaxed Sc6SeS5 crystal at the GGA-PBE level of DFT.

* energy: -7.00 eV/atom
* formation energy without anion corrections: -1.826 eV/atom

Cell: 6.4461 11.1708 6.4506 Å, 90.00 109.51 90.00°
Closest atoms and distances in Å follow each position.
Space group C2/m (No. 12)
Inequivalent atoms, fractional coordinates:
Sc  0.2397  0.1727  0.2333 [8 per cell]  5 S 2.55-2.67, 1 Se 2.75
Sc  0.2440  0.0000  0.7638 [4 per cell]  5 S 2.53-2.66, 1 Se 2.74
Se  0.0000  0.5000  0.5000 [2 per cell]  6 Sc 2.74-2.75
S  0.0000  0.0000  0.0000 [2 per cell]  6 Sc 2.53-2.61
S  0.0000  0.1671  0.5000 [4 per cell]  6 Sc 2.65-2.67
S  0.0000  0.3378  0.0000 [4 per cell]  6 Sc 2.55-2.60

# 11
Computed, not measured: a relaxed CdPtS2N crystal at the GGA-PBE level of DFT.

* energy: -3.07 eV/atom
* distance to the lowest polymorph of the same formula: 1143 meV/atom
* formation energy without anion corrections: 1.635 eV/atom

Cell: 5.0016 5.0016 4.0454 Å, 90.00 90.00 90.00°
Closest atoms and distances in Å follow each position.
Space group P4/mmm (No. 123)
Inequivalent atoms, fractional coordinates:
Cd  0.0000  0.0000  0.0000 [1 per cell]  2 N 2.02
Pt  0.5000  0.5000  0.5000 [1 per cell]  8 S 3.22, 4 N 3.54
S  0.0000  0.5000  0.0000 [2 per cell]  2 Cd 2.50
N  0.0000  0.0000  0.5000 [1 per cell]  2 Cd 2.02

# 12
Computed, not measured: a relaxed ErZn6Rh2 crystal at the GGA-PBE level of DFT.

* energy relative to the elements: -211 kJ/mol of formula units
* energy: -3.23 eV/atom

Cell: 4.3996 5.6099 12.0889 Å, 90.00 90.00 90.00°
Closest atoms and distances in Å follow each position.
Space group Immm (No. 71)
Inequivalent atoms, fractional coordinates:
Er  0.0000  0.0000  0.0000 [2 per cell]  4 Zn 2.75
Zn  0.0000  0.2068  0.5000 [4 per cell]  3 Zn 2.32-2.43
Zn  0.0000  0.2482  0.2996 [8 per cell]  3 Zn 2.43-2.51, 1 Rh 2.64
Rh  0.0000  0.5000  0.1156 [4 per cell]  10 Zn 2.64-2.85, 1 Rh 2.79

# 13
Computed, not measured: a relaxed PuMnCo10 crystal at the GGA-PBE level of DFT.

* energy relative to the elements: 103 kJ/mol of formula units
* energy: -7.79 eV/atom

Cell: 4.0070 4.7463 8.2862 Å, 90.00 90.00 90.00°
Closest atoms and distances in Å follow each position.
Space group Pmmm (No. 47)
Inequivalent atoms, fractional coordinates:
Pu  0.0000  0.0000  0.0000 [1 per cell]  18 Co 2.85-3.14
Mn  0.0000  0.5000  0.5000 [1 per cell]  6 Co 2.56-2.70
Co  0.0000  0.0000  0.3456 [2 per cell]  7 Co 2.38-2.56
Co  0.0000  0.5000  0.1913 [2 per cell]  6 Co 2.38-2.55, 1 Mn 2.56
Co  0.5000  0.0000  0.5000 [1 per cell]  8 Co 2.37-2.38
Co  0.5000  0.2511  0.2533 [4 per cell]  8 Co 2.36-2.45
Co  0.5000  0.5000  0.0000 [1 per cell]  8 Co 2.41-2.55

# 14
Computed, not measured: a relaxed MgPtI2Br crystal at the GGA-PBE level of DFT.

* energy: -2.06 eV/atom
* formation energy without anion corrections: 0.419 eV/atom

Cell: 5.6275 5.6275 5.0853 Å, 90.00 90.00 90.00°
Closest atoms and distances in Å follow each position.
Space group P4/mmm (No. 123)
Inequivalent atoms, fractional coordinates:
Mg  0.0000  0.0000  0.0000 [1 per cell]  2 Pt 2.54, 4 I 2.81
Pt  0.0000  0.0000  0.5000 [1 per cell]  2 Mg 2.54
I  0.0000  0.5000  0.0000 [2 per cell]  2 Mg 2.81
Br  0.5000  0.5000  0.5000 [1 per cell]  8 I 3.79, 4 Pt 3.98

# 15
Computed, not measured: a relaxed ZnMoBr2 crystal at the GGA-PBE level of DFT.

* energy: -3.21 eV/atom
* distance to the lowest polymorph of the same formula: 679 meV/atom
* formation energy without anion corrections: 0.656 eV/atom

Cell: 6.6909 6.6909 6.6909 Å, 90.00 90.00 90.00°
Closest atoms and distances in Å follow each position.
Space group Fm-3m (No. 225)
Inequivalent atoms, fractional coordinates:
Zn  0.0000  0.0000  0.0000 [4 per cell]  8 Br 2.90
Mo  0.0000  0.0000  0.5000 [4 per cell]  8 Br 2.90
Br  0.2500  0.2500  0.2500 [8 per cell]  4 Mo 2.90, 4 Zn 2.90

# 16
Computed, not measured: a relaxed SrZnHg2 crystal at the GGA-PBE level of DFT.

* energy relative to the elements: -101 kJ/mol of formula units
* energy: -1.15 eV/atom

Cell: 4.9260 4.9260 8.6273 Å, 90.00 90.00 90.00°
Closest atoms and distances in Å follow each position.
Space group I-4m2 (No. 119)
Inequivalent atoms, fractional coordinates:
Sr  0.0000  0.0000  0.0000 [2 per cell]  8 Hg 3.27-3.48, 4 Zn 3.27
Zn  0.0000  0.5000  0.7500 [2 per cell]  8 Hg 3.27-3.48, 4 Sr 3.27
Hg  0.0000  0.0000  0.5000 [2 per cell]  4 Hg 3.27, 4 Zn 3.27, 4 Sr 3.48
Hg  0.0000  0.5000  0.2500 [2 per cell]  4 Sr 3.27, 4 Hg 3.27, 4 Zn 3.48

# 17
Computed, not measured: a relaxed Ac4Pr5Nd2 crystal at the GGA-PBE level of DFT.

* energy relative to the elements: 180 kJ/mol of formula units
* energy: -4.36 eV/atom

Cell: 24.3589 3.7635 10.1175 Å, 90.00 108.14 90.00°
Closest atoms and distances in Å follow each position.
Space group C2/m (No. 12)
Inequivalent atoms, fractional coordinates:
Ac  0.0418  0.0000  0.1973 [4 per cell]  4 Pr 3.75-3.99, 7 Ac 3.76-4.17
Ac  0.1092  0.5000  0.9140 [4 per cell]  6 Ac 3.76-4.17, 3 Nd 3.77-3.79, 3 Pr 4.12-4.20
Pr  0.0000  0.5000  0.5000 [2 per cell]  6 Pr 3.59-3.76, 4 Ac 3.99
Pr  0.1318  0.0000  0.5729 [4 per cell]  1 Nd 3.18, 1 Pr 3.40
Pr  0.2095  0.0000  0.3456 [4 per cell]  2 Nd 3.39, 5 Pr 3.40-3.76
Nd  0.2343  0.0000  0.8596 [4 per cell]  3 Pr 3.18-3.39, 2 Nd 3.29

# 18
Computed, not measured: a relaxed Na3TaV2Se6 crystal at the GGA-PBE level of DFT.

* energy: -5.40 eV/atom
* formation energy without anion corrections: -0.825 eV/atom

Cell: 6.1670 11.0099 7.5445 Å, 90.00 105.99 90.00°
Closest atoms and distances in Å follow each position.
Space group C2/m (No. 12)
Inequivalent atoms, fractional coordinates:
Na  0.0000  0.0000  0.0000 [2 per cell]  6 Se 2.85-3.07
Na  0.0000  0.3257  0.0000 [4 per cell]  6 Se 2.91-3.03
Ta  0.0000  0.5000  0.5000 [2 per cell]  6 Se 2.62-2.65
V  0.0000  0.1288  0.5000 [4 per cell]  4 Se 2.44-2.54
Se  0.2384  0.3260  0.6990 [8 per cell]  2 V 2.54-2.81, 1 Ta 2.62
Se  0.2479  0.0000  0.7327 [4 per cell]  2 V 2.44, 1 Ta 2.65

# 19
Computed, not measured: a relaxed HoErSnSe crystal at the GGA-PBE level of DFT.

* energy: -5.36 eV/atom
* formation energy without anion corrections: -1.207 eV/atom

Cell: 4.2325 4.2325 5.9689 Å, 90.00 90.00 90.00°
Closest atoms and distances in Å follow each position.
Space group P4/mmm (No. 123)
Inequivalent atoms, fractional coordinates:
Ho  0.0000  0.0000  0.0000 [1 per cell]  2 Se 2.98, 4 Sn 2.99
Er  0.5000  0.5000  0.5000 [1 per cell]  2 Sn 2.98, 4 Se 2.99
Sn  0.5000  0.5000  0.0000 [1 per cell]  2 Er 2.98, 4 Ho 2.99
Se  0.0000  0.0000  0.5000 [1 per cell]  2 Ho 2.98, 4 Er 2.99

# 20
Computed, not measured: a relaxed SrFePPb crystal at the GGA-PBE level of DFT.

* energy relative to the elements: -178 kJ/mol of formula units
* energy: -5.28 eV/atom

Cell: 4.0917 4.0917 11.1388 Å, 90.00 90.00 90.00°
Closest atoms and distances in Å follow each position.
Space group P4/nmm (No. 129, origin choice 2)
Inequivalent atoms, fractional coordinates:
Sr  0.2500  0.2500  0.2264 [2 per cell]  4 Fe 3.25, 5 P 3.25-3.56
Fe  0.2500  0.7500  0.0000 [2 per cell]  4 P 2.29
P  0.2500  0.2500  0.9067 [2 per cell]  4 Fe 2.29
Pb  0.2500  0.7500  0.5000 [2 per cell]  4 Pb 2.89

# 21
Computed, not measured: a relaxed Tb19Dy6Tm4 crystal at the GGA-PBE level of DFT.

* energy relative to the elements: 1067 kJ/mol of formula units
* energy: -4.22 eV/atom

Cell: 12.3897 12.3897 12.3897 Å, 90.00 90.00 90.00°
Closest atoms and distances in Å follow each position.
Space group I23 (No. 197)
Inequivalent atoms, fractional coordinates:
Tb  0.0000  0.0000  0.0000 [2 per cell]  6 Tb 3.22
Tb  0.0000  0.0000  0.2599 [12 per cell]  5 Tb 3.22-3.55, 2 Tm 3.29, 2 Dy 3.36
Tb  0.0632  0.2608  0.2793 [24 per cell]  1 Dy 3.17, 2 Tm 3.32-3.40, 2 Tb 3.33-3.55
Dy  0.0000  0.3733  0.5000 [12 per cell]  1 Dy 3.14, 4 Tb 3.17-3.36
Tm  0.1791  0.1791  0.8209 [8 per cell]  9 Tb 3.29-3.40

# 22
Computed, not measured: a relaxed MnNiHRh2 crystal at the GGA-PBE level of DFT.

* energy: -6.66 eV/atom
* distance to the lowest polymorph of the same formula: 47 meV/atom

Cell: 3.8333 3.8333 3.7755 Å, 90.00 90.00 90.00°
Closest atoms and distances in Å follow each position.
Space group P4/mmm (No. 123)
Inequivalent atoms, fractional coordinates:
Mn  0.0000  0.0000  0.0000 [1 per cell]  2 H 1.89
Ni  0.5000  0.5000  0.0000 [1 per cell]  8 Rh 2.69, 4 Mn 2.71
H  0.0000  0.0000  0.5000 [1 per cell]  2 Mn 1.89, 4 Rh 1.92
Rh  0.0000  0.5000  0.5000 [2 per cell]  2 H 1.92

# 23
Computed, not measured: a relaxed La3IrO crystal at the GGA-PBE level of DFT.

* energy: -6.93 eV/atom
* distance to the lowest polymorph of the same formula: 0 meV/atom
* formation energy without anion corrections: -1.210 eV/atom

Cell: 4.9191 4.9191 4.9191 Å, 90.00 90.00 90.00°
Closest atoms and distances in Å follow each position.
Space group Pm-3m (No. 221)
Inequivalent atoms, fractional coordinates:
La  0.0000  0.0000  0.5000 [3 per cell]  2 O 2.46
Ir  0.5000  0.5000  0.5000 [1 per cell]  12 La 3.48
O  0.0000  0.0000  0.0000 [1 per cell]  6 La 2.46

# 24
Computed, not measured: a relaxed NbTl3Ni crystal at the GGA-PBE level of DFT.

* energy relative to the elements: 595 kJ/mol of formula units
* energy: -3.36 eV/atom
* distance to the lowest polymorph of the same formula: 317 meV/atom

Cell: 5.4677 5.4677 5.4677 Å, 90.00 90.00 90.00°
Closest atoms and distances in Å follow each position.
Space group Pm-3m (No. 221)
Inequivalent atoms, fractional coordinates:
Nb  0.0000  0.0000  0.0000 [1 per cell]  6 Tl 2.73
Tl  0.0000  0.0000  0.5000 [3 per cell]  2 Nb 2.73
Ni  0.5000  0.5000  0.5000 [1 per cell]  12 Tl 3.87